The following is a DFT calculation (PBE) of a relaxed structure of La2YEr2Tm2.

```
7
Lattice="5.8248 -1.7413 0.0000 5.8248 1.7413 0.0000 -2.1474 0.0000 11.3504" Properties=species:S:1:pos:R:3 pbc="T T T"
La 2.0086 0.0000 3.9643
La 7.4936 0.0000 7.3861
Y -1.0737 0.0000 5.6752
Er 2.0875 0.0000 10.6229
Er 7.4148 0.0000 0.7274
Tm -1.0298 0.0000 9.1381
Tm 10.5320 0.0000 2.2123
```

Output
* energy: -4.7957 eV/atom
* magnetic moment: 0.00 μB per formula unit
* crystal system: monoclinic
* space-group type: C2/m


The following is a DFT calculation (PBE) of a relaxed structure of La2Y2Er2Tm.

```
7
Lattice="8.8749 -1.7421 0.0000 8.8749 1.7421 0.0000 -3.8984 0.0000 7.6307" Properties=species:S:1:pos:R:3 pbc="T T T"
La 1.1388 0.0000 2.9163
La 12.7125 0.0000 4.7144
Y -2.2814 0.0000 6.8760
Y 16.1326 0.0000 0.7547
Er 4.3451 0.0000 1.5126
Er 9.5062 0.0000 6.1181
Tm 6.9256 0.0000 3.8153
```

Output
* energy: -5.0468 eV/atom
* magnetic moment: 0.00 μB per formula unit
* crystal system: monoclinic
* space-group type: C2/m


The following is a DFT calculation (PBE) of a relaxed structure of La2Y3ErTm6.

```
12
Lattice="3.0825 -5.3356 0.0000 3.0825 5.3356 0.0000 -2.0495 0.0000 11.5629" Properties=species:S:1:pos:R:3 pbc="T T T"
La 3.0825 3.5595 0.0000
La 3.0825 -3.5595 0.0000
Y -1.0247 0.0000 5.7814
Y 2.0578 1.7764 5.7814
Y 2.0578 -1.7764 5.7814
Er 3.0825 0.0000 0.0000
Tm 0.0055 1.7715 8.6402
Tm 1.0405 0.0000 2.9252
Tm 0.0055 -1.7715 8.6402
Tm 4.1101 1.7715 2.9227
Tm 3.0751 0.0000 8.6377
Tm 4.1101 -1.7715 2.9227
```

Output
* energy: -5.0241 eV/atom
* magnetic moment: 0.00 μB per formula unit
* crystal system: monoclinic
* space-group type: C2/m


The following is a DFT calculation (PBE) of a relaxed structure of La6YEr2Tm.

```
20
Lattice="4.6542 -7.7506 0.0000 4.6542 7.7506 0.0000 -1.3770 0.0000 9.6459" Properties=species:S:1:pos:R:3 pbc="T T T"
La 2.3491 4.3182 1.8753
La 3.3055 5.0306 5.3107
La 3.9376 5.0306 9.1581
La 3.2086 1.6509 3.6732
La 6.2709 4.3182 2.9476
La 5.4114 1.6509 1.1497
La 2.5202 -1.6509 8.4962
La 1.6606 -4.3182 6.6983
La 4.7229 -1.6509 5.9727
La 3.9940 -5.0306 0.4878
La 4.6260 -5.0306 4.3352
La 5.5824 -4.3182 7.7706
Y 4.3100 7.3531 2.4115
Y 3.6215 -7.3531 7.2344
Er 2.2340 0.7479 0.4404
Er 1.5456 -0.7479 5.2634
Er 6.3860 0.7479 4.3825
Er 5.6975 -0.7479 9.2055
Tm 3.6215 1.3457 7.2344
Tm 4.3100 -1.3457 2.4115
```

Output
* energy: -4.8534 eV/atom
* magnetic moment: 0.00 μB per formula unit
* crystal system: monoclinic
* space-group type: C2/c


The following is a DFT calculation (PBE) of a relaxed structure of LaYEr5Tm2.

```
18
Lattice="2.7870 -9.8228 0.0000 2.7870 9.8228 0.0000 0.0000 0.0000 10.5290" Properties=species:S:1:pos:R:3 pbc="T T T"
La 2.7870 8.2189 5.2645
La 2.7870 -8.2189 0.0000
Y 2.7870 3.9322 0.6735
Y 2.7870 -3.9322 5.9380
Er 2.7870 9.4011 8.2776
Er 2.7870 7.6123 0.7800
Er 2.7870 5.8501 8.0300
Er 2.7870 5.5271 3.8241
Er 2.7870 0.3371 0.8118
Er 2.7870 -0.3371 6.0763
Er 2.7870 -5.5271 9.0886
Er 2.7870 -5.8501 2.7654
Er 2.7870 -7.6123 6.0445
Er 2.7870 -9.4011 3.0131
Tm 2.7870 2.2198 3.8925
Tm 2.7870 2.1806 8.2617
Tm 2.7870 -2.1806 2.9972
Tm 2.7870 -2.2198 9.1570
```

Output
* energy: -4.6211 eV/atom
* magnetic moment: 0.00 μB per formula unit
* crystal system: orthorhombic
* space-group type: Cmc2_1


The following is a DFT calculation (PBE) of a relaxed structure of La3Y2ErTm6.

```
12
Lattice="3.0967 -5.3615 0.0000 3.0967 5.3615 0.0000 -2.0584 0.0000 11.5721" Properties=species:S:1:pos:R:3 pbc="T T T"
La 0.0000 0.0000 0.0000
La 3.0967 1.7870 0.0000
La 3.0967 -1.7870 0.0000
Y 2.0675 3.5744 5.7860
Y 2.0675 -3.5744 5.7860
Er 2.0675 0.0000 5.7860
Tm 1.0392 1.7821 2.9532
Tm 0.0078 0.0000 8.6196
Tm 1.0392 -1.7821 2.9532
Tm 3.0958 1.7821 8.6189
Tm 4.1272 0.0000 2.9525
Tm 3.0958 -1.7821 8.6189
```

Output
* energy: -4.8958 eV/atom
* magnetic moment: 0.00 μB per formula unit
* crystal system: monoclinic
* space-group type: C2/m


The following is a DFT calculation (PBE) of a relaxed structure of LaY6ErTm2.

```
20
Lattice="4.6403 -7.4896 0.0000 4.6403 7.4896 0.0000 -0.8483 0.0000 9.3888" Properties=species:S:1:pos:R:3 pbc="T T T"
La 4.0041 6.9716 7.0416
La 4.4282 -6.9716 2.3472
Y 2.0199 4.1013 6.3946
Y 4.0259 4.7951 0.5386
Y 4.8306 4.7951 4.1558
Y 3.0119 1.7012 8.3473
Y 5.9882 4.1013 7.6887
Y 4.9962 1.7012 5.7359
Y 3.4361 -1.7012 3.6529
Y 2.4441 -4.1013 1.7002
Y 5.4204 -1.7012 1.0415
Y 3.6017 -4.7951 5.2330
Y 4.4064 -4.7951 8.8502
Y 6.4124 -4.1013 2.9942
Er 4.4282 1.3101 2.3472
Er 4.0041 -1.3101 7.0416
Tm 1.8851 0.7712 5.2048
Tm 2.3093 -0.7712 0.5104
Tm 6.1230 0.7712 8.8784
Tm 6.5472 -0.7712 4.1840
```

Output
* energy: -5.6014 eV/atom
* magnetic moment: 0.01 μB per formula unit
* crystal system: monoclinic
* space-group type: C2/c


The following is a DFT calculation (PBE) of a relaxed structure of LaY2Er6Tm3.

```
12
Lattice="3.0609 -5.2968 0.0000 3.0609 5.2968 0.0000 -2.0357 0.0000 11.5418" Properties=species:S:1:pos:R:3 pbc="T T T"
La 0.0000 0.0000 0.0000
Y 3.0609 1.7646 0.0000
Y 3.0609 -1.7646 0.0000
Er 1.0275 1.7690 2.9412
Er 0.0049 0.0000 8.6003
Er 1.0275 -1.7690 2.9412
Er 3.0585 1.7690 8.6006
Er 4.0811 0.0000 2.9415
Er 3.0585 -1.7690 8.6006
Tm 2.0430 3.5274 5.7709
Tm 2.0430 0.0000 5.7709
Tm 2.0430 -3.5274 5.7709
```

Output
* energy: -4.8585 eV/atom
* magnetic moment: 0.00 μB per formula unit
* crystal system: monoclinic
* space-group type: C2/m